Crystalline Mg2Ta2SnO8 at its relaxed geometry. Source: Alexandria, functional GGA-PBE.

Values from the calculation:
- density of states at the Fermi level (states/eV/f.u.) = 0.00
- size of the total moment (Bohr magnetons per cell) = 0.0
- formation energy from raw total energies (eV per atom) = -2.551
- space group = C2/c, No. 15

Lattice parameters (Å, degrees): 10.8760 10.8760 5.3113 91.57 91.57 32.45
Positions (direct):
1 Mg 0.0878 0.3710 0.2449
2 Mg 0.3710 0.0878 0.7449
3 Mg 0.6290 0.9122 0.2551
4 Mg 0.9122 0.6290 0.7551
5 Ta 0.2052 0.5400 0.2661
6 Ta 0.4600 0.7948 0.2339
7 Ta 0.5400 0.2052 0.7661
8 Ta 0.7948 0.4600 0.7339
9 Sn 0.1886 0.8114 0.7500
10 Sn 0.8114 0.1886 0.2500
11 O 0.0496 0.3432 0.8790
12 O 0.0531 0.8077 0.3814
13 O 0.1923 0.9469 0.1186
14 O 0.1982 0.4190 0.5490
15 O 0.3280 0.5020 0.9562
16 O 0.3432 0.0496 0.3790
17 O 0.4190 0.1982 0.0490
18 O 0.4980 0.6720 0.5438
19 O 0.5020 0.3280 0.4562
20 O 0.5810 0.8018 0.9510
21 O 0.6568 0.9504 0.6210
22 O 0.6720 0.4980 0.0438
23 O 0.8018 0.5810 0.4510
24 O 0.8077 0.0531 0.8814
25 O 0.9469 0.1923 0.6186
26 O 0.9504 0.6568 0.1210

***

Crystalline MgTaSnO6 at its relaxed geometry. Source: Alexandria, functional GGA-PBE.

Values from the calculation:
- density of states at the Fermi level (states/eV/f.u.) = 3.18
- size of the total moment (Bohr magnetons per cell) = 2.0
- formation energy from raw total energies (eV per atom) = -2.065
- space group = P-31c, No. 163

Lattice parameters (Å, degrees): 5.3352 5.3352 8.9474 90.00 90.00 120.00
Positions (direct):
1 Mg 0.0000 0.0000 0.0000
2 Mg 0.0000 0.0000 0.5000
3 Ta 0.3333 0.6667 0.2500
4 Ta 0.6667 0.3333 0.7500
5 Sn 0.3333 0.6667 0.7500
6 Sn 0.6667 0.3333 0.2500
7 O 0.0130 0.3505 0.1299
8 O 0.0130 0.6625 0.3701
9 O 0.3375 0.3505 0.3701
10 O 0.3375 0.9870 0.1299
11 O 0.3505 0.0130 0.6299
12 O 0.3505 0.3375 0.8701
13 O 0.6495 0.6625 0.1299
14 O 0.6495 0.9870 0.3701
15 O 0.6625 0.0130 0.8701
16 O 0.6625 0.6495 0.6299
17 O 0.9870 0.3375 0.6299
18 O 0.9870 0.6495 0.8701

***

Crystalline MgTcSnO6 at its relaxed geometry. Source: Alexandria, functional GGA-PBE.

Values from the calculation:
- density of states at the Fermi level (states/eV/f.u.) = 0.66
- size of the total moment (Bohr magnetons per cell) = 2.0
- formation energy from raw total energies (eV per atom) = -1.675
- space group = P4_2nm, No. 102

Lattice parameters (Å, degrees): 4.7245 4.7245 9.4180 90.00 90.00 90.00
Positions (direct):
1 Mg 0.0000 0.0000 0.0000
2 Mg 0.5000 0.5000 0.5000
3 Tc 0.0000 0.0000 0.6676
4 Tc 0.5000 0.5000 0.1676
5 Sn 0.0000 0.0000 0.3336
6 Sn 0.5000 0.5000 0.8336
7 O 0.1909 0.1909 0.5122
8 O 0.1915 0.1915 0.8252
9 O 0.2135 0.2135 0.1690
10 O 0.2865 0.7135 0.6690
11 O 0.3091 0.6909 0.0122
12 O 0.3085 0.6915 0.3252
13 O 0.6909 0.3091 0.0122
14 O 0.6915 0.3085 0.3252
15 O 0.7135 0.2865 0.6690
16 O 0.7865 0.7865 0.1690
17 O 0.8091 0.8091 0.5122
18 O 0.8085 0.8085 0.8252

***

Crystalline MgSnTeO6 at its relaxed geometry. Source: Alexandria, functional GGA-PBE.

Values from the calculation:
- size of the total moment (Bohr magnetons per cell) = 0.0
- formation energy from raw total energies (eV per atom) = -1.568
- space group = P-31c, No. 163

Lattice parameters (Å, degrees): 5.1663 5.1663 8.9603 90.00 90.00 120.00
Positions (direct):
1 Mg 0.3333 0.6667 0.2500
2 Mg 0.6667 0.3333 0.7500
3 Sn 0.0000 0.0000 0.0000
4 Sn 0.0000 0.0000 0.5000
5 Te 0.3333 0.6667 0.7500
6 Te 0.6667 0.3333 0.2500
7 O 0.0171 0.3519 0.6299
8 O 0.0171 0.6652 0.8701
9 O 0.3348 0.3519 0.8701
10 O 0.3348 0.9829 0.6299
11 O 0.3519 0.0171 0.1299
12 O 0.3519 0.3348 0.3701
13 O 0.6481 0.6652 0.6299
14 O 0.6481 0.9829 0.8701
15 O 0.6652 0.0171 0.3701
16 O 0.6652 0.6481 0.1299
17 O 0.9829 0.3348 0.1299
18 O 0.9829 0.6481 0.3701

***

Crystalline Mg2TiSnO6 at its relaxed geometry. Source: Alexandria, functional GGA-PBE.

Values from the calculation:
- density of states at the Fermi level (states/eV/f.u.) = 0.00
- size of the total moment (Bohr magnetons per cell) = 0.0
- formation energy from raw total energies (eV per atom) = -2.485
- space group = R3, No. 146

Lattice parameters (Å, degrees): 5.5594 5.5594 5.5594 55.92 55.92 55.92
Positions (direct):
1 Mg 0.0000 0.0000 0.0000
2 Mg 0.4963 0.4963 0.4963
3 Ti 0.2095 0.2095 0.2095
4 Sn 0.7090 0.7090 0.7090
5 O 0.0994 0.8160 0.4057
6 O 0.3085 0.5775 0.9273
7 O 0.4057 0.0994 0.8160
8 O 0.5775 0.9273 0.3085
9 O 0.8160 0.4057 0.0994
10 O 0.9273 0.3085 0.5775

***

Crystalline MgTiSn2O at its relaxed geometry. Source: Alexandria, functional GGA-PBE.

Values from the calculation:
- density of states at the Fermi level (states/eV/f.u.) = 4.17
- size of the total moment (Bohr magnetons per cell) = 0.0
- formation energy from raw total energies (eV per atom) = 1.156
- space group = P4/mmm, No. 123

Lattice parameters (Å, degrees): 5.1240 5.1240 4.9886 90.00 90.00 90.00
Positions (direct):
1 Mg 0.0000 0.0000 0.0000
2 Ti 0.0000 0.0000 0.5000
3 Sn 0.0000 0.5000 0.0000
4 Sn 0.5000 0.0000 0.0000
5 O 0.5000 0.5000 0.5000

***

Q: Among the records above, which one has the highest formation energy from raw total energies?
A: MgTiSn2O

***

Q: Which of these has the highest formation energy from raw total energies?
A: MgTiSn2O

***

Q: formation energy from raw total energies of number 3 (MgTcSnO6)?
A: -1.675 eV per atom